Material: BaLi2MgIr
Method: DFT, meta-GGA SCAN
State: single point on PBEsol structure

Cell lengths 5.0959, 5.0959, 5.1210 Å; angles 90.00, 90.00, 90.00 degrees
Fractional positions:
Ir: 0.0000 0.0000 0.5000
Li: 0.0000 0.5000 0.0000
Ba: 0.0000 0.0000 0.0000
Mg: 0.5000 0.5000 0.5000
Li: 0.5000 0.0000 0.0000

Calculated values
ΔE_f, eV per formula unit: 5.498
M_tot, μB per cell: 0.00
DOS at the Fermi energy, states/eV/f.u.: 1.66


Material: BaMg2Ir
Method: DFT, meta-GGA SCAN
State: single point on PBEsol structure

Cell lengths 4.5773, 4.5773, 5.3291 Å; angles 115.43, 115.43, 90.00 degrees
Fractional positions:
Mg: 0.7500 0.2500 0.5000
Ba: 0.5000 0.5000 0.0000
Mg: 0.2500 0.7500 0.5000
Ir: 0.0000 0.0000 0.0000

Calculated values
ΔE_f, eV per formula unit: 0.471
M_tot, μB per cell: 0.00
DOS at the Fermi energy, states/eV/f.u.: 1.37


Material: BaMg2Ir
Method: DFT, meta-GGA SCAN
State: single point on PBEsol structure

Cell lengths 4.6357, 4.6375, 6.3082 Å; angles 68.42, 68.44, 60.01 degrees
Fractional positions:
Mg: 0.0196 0.0193 0.9415
Ba: 0.4950 0.4964 0.5137
Ir: 0.6828 0.6823 0.9521
Mg: 0.3026 0.3020 0.0927

Calculated values
ΔE_f, eV per formula unit: -1.044
M_tot, μB per cell: 0.00
DOS at the Fermi energy, states/eV/f.u.: 2.37


Material: BaMg2Ir
Method: DFT, meta-GGA SCAN
State: single point on PBEsol structure

Cell lengths 3.2667, 3.2667, 8.6326 Å; angles 90.00, 90.00, 90.00 degrees
Fractional positions:
Ir: 0.5000 0.5000 0.5000
Mg: 0.0000 0.0000 0.6635
Ba: 0.5000 0.5000 0.0000
Mg: 0.0000 0.0000 0.3365

Calculated values
ΔE_f, eV per formula unit: -0.553
M_tot, μB per cell: 0.00
DOS at the Fermi energy, states/eV/f.u.: 2.47